Tl3AgAu: relaxed, PBE.

Structure (CIF):
```
data_Tl3AgAu
_chemical_formula_sum 'Tl6 Ag2 Au2'
_cell_length_a 4.7671
_cell_length_b 8.6435
_cell_length_c 6.3161
_cell_angle_alpha 90.00
_cell_angle_beta 90.00
_cell_angle_gamma 90.00
_symmetry_space_group_name_H-M 'P m m n'
_symmetry_Int_Tables_number 59
loop_
_symmetry_equiv_pos_as_xyz
'x,y,z'
'-x,-y,-z'
'-x+1/2,-y+1/2,z'
'x+1/2,y+1/2,-z'
'x+1/2,-y,-z'
'-x+1/2,y,z'
'-x,y+1/2,-z'
'x,-y+1/2,z'
loop_
_atom_site_label
_atom_site_fract_x
_atom_site_fract_y
_atom_site_fract_z
Tl1 0.2500 0.0504 0.2470
Tl2 0.2500 0.2500 0.7532
Ag1 0.2500 0.7500 0.5286
Au1 0.2500 0.7500 0.9656
```

crystal system = orthorhombic
magnetization = 0.000 μB per formula unit
DOS(E_F) = 3.310 states/eV/cell
energy above the most stable polymorph in this dataset = 0 meV/atom
theoretical density = 11.7 g cm⁻³

***

SrAlCdAg2: relaxed, PBE.

Structure (CIF):
```
data_SrAlCdAg2
_chemical_formula_sum 'Sr2 Al2 Cd2 Ag4'
_cell_length_a 4.4725
_cell_length_b 4.6771
_cell_length_c 11.5325
_cell_angle_alpha 90.00
_cell_angle_beta 90.00
_cell_angle_gamma 90.00
_symmetry_space_group_name_H-M 'I m m 2'
_symmetry_Int_Tables_number 44
loop_
_symmetry_equiv_pos_as_xyz
'x,y,z'
'-x,-y,z'
'-x,y,z'
'x,-y,z'
'x+1/2,y+1/2,z+1/2'
'-x+1/2,-y+1/2,z+1/2'
'-x+1/2,y+1/2,z+1/2'
'x+1/2,-y+1/2,z+1/2'
loop_
_atom_site_label
_atom_site_fract_x
_atom_site_fract_y
_atom_site_fract_z
Sr1 0.0000 0.0000 0.0000
Al1 0.0000 0.0000 0.6228
Cd1 0.0000 0.5000 0.7474
Ag1 0.0000 0.0000 0.4006
Ag2 0.0000 0.5000 0.2462
```

crystal system = orthorhombic
magnetization = 0.000 μB per formula unit
DOS(E_F) = 4.622 states/eV/cell
theoretical density = 6.1 g cm⁻³

***

Q: Which raw total energy values were calculated for the entries above? A: -2.58; -2.62, in eV per atom.